[1]
Material: CdOsO4
Method: DFT, PBE
State: optimized geometry

Final energy   -75.46 eV/cell
Calculated density   8.00 g/cm3
Energy relative to the lowest polymorph listed for this composition   0.000 eV/atom
DOS at the Fermi energy   0.489 states/eV/atom
Magnetization   0.00 μB/cell
E_form (uncorrected)   -959 meV per atom

Cell lengths 5.9038, 4.8418, 5.5811 Å; angles 90.00, 107.50, 90.00 degrees
Space group P2_1/c (No. 14)
Unique sites:
Cd1 0.0000 0.0000 0.0000
Os1 0.5000 0.0000 0.5000
O1 0.1982 0.1638 0.3917
O2 0.3846 0.7401 0.7024

***

[2]
Material: CdOs2O6
Method: DFT, PBE
State: optimized geometry

Final energy   -61.40 eV/cell
Calculated density   8.45 g/cm3
DOS at the Fermi energy   0.468 states/eV/atom
Magnetization   0.00 μB/cell
E_form (uncorrected)   -919 meV per atom

Cell lengths 5.2787, 5.2787, 4.7952 Å; angles 90.00, 90.00, 120.00 degrees
Space group P-31m (No. 162)
Unique sites:
Cd1 0.0000 0.0000 0.0000
Os1 0.3333 0.6667 0.5000
O1 0.0000 0.3719 0.7181

***

[3]
Material: Cd4Os6O19
Method: DFT, PBE
State: optimized geometry

Final energy   -385.67 eV/cell
Calculated density   8.29 g/cm3
DOS at the Fermi energy   0.412 states/eV/atom
Magnetization   0.00 μB/cell
E_form (uncorrected)   -951 meV per atom

Cell lengths 9.1221, 9.1221, 9.1221 Å; angles 90.00, 90.00, 90.00 degrees
Space group I23 (No. 197)
Unique sites:
Cd1 0.1400 0.1400 0.8600
Os1 0.0000 0.3620 0.5000
O1 0.0000 0.0000 0.0000
O2 0.0000 0.0000 0.3286
O3 0.0136 0.3494 0.7128

***

[4]
Material: CdOsO3
Method: DFT, PBE
State: optimized geometry

Final energy   -21.66 eV/cell
Calculated density   8.29 g/cm3
DOS at the Fermi energy   0.330 states/eV/atom
Magnetization   4.88 μB/cell
E_form (uncorrected)   1072 meV per atom

Cell lengths 4.1258, 4.1258, 4.1258 Å; angles 90.00, 90.00, 90.00 degrees
Space group Pm-3m (No. 221)
Unique sites:
Cd1 0.0000 0.0000 0.0000
Os1 0.5000 0.5000 0.5000
O1 0.0000 0.0000 0.5000

***

[5]
Material: CdOsO3
Method: DFT, PBE
State: optimized geometry

Final energy   -30.11 eV/cell
Calculated density   9.74 g/cm3
DOS at the Fermi energy   0.816 states/eV/atom
Magnetization   0.72 μB/cell
E_form (uncorrected)   -617 meV per atom

Cell lengths 3.9095, 3.9095, 3.9095 Å; angles 90.00, 90.00, 90.00 degrees
Space group Pm-3m (No. 221)
Unique sites:
Cd1 0.0000 0.0000 0.0000
Os1 0.5000 0.5000 0.5000
O1 0.0000 0.5000 0.5000

***

[6]
Material: CdOsO4
Method: DFT, PBE
State: optimized geometry

Final energy   -149.34 eV/cell
Calculated density   8.29 g/cm3
Energy relative to the lowest polymorph listed for this composition   0.066 eV/atom
DOS at the Fermi energy   0.332 states/eV/atom
Magnetization   0.00 μB/cell
E_form (uncorrected)   -893 meV per atom

Cell lengths 11.3828, 5.0585, 5.4271 Å; angles 90.00, 109.87, 90.00 degrees
Space group C2/c (No. 15)
Unique sites:
Cd1 0.0000 0.1915 0.2500
Os1 0.2500 0.2500 0.0000
O1 0.1125 0.4433 0.9288
O2 0.1649 0.0194 0.6720

***

[7]
Material: CdP2OsO
Method: DFT, PBE
State: optimized geometry

Final energy   -27.35 eV/cell
Calculated density   7.24 g/cm3
Energy relative to the lowest polymorph listed for this composition   0.000 eV/atom
DOS at the Fermi energy   0.885 states/eV/atom
Magnetization   0.00 μB/cell
E_form (uncorrected)   115 meV per atom

Cell lengths 4.8630, 4.8630, 3.6924 Å; angles 90.00, 90.00, 90.00 degrees
Space group P4/mmm (No. 123)
Unique sites:
Cd1 0.0000 0.0000 0.0000
P1 0.0000 0.5000 0.5000
Os1 0.5000 0.5000 0.5000
O1 0.5000 0.5000 0.0000

***

[8]
Material: CdP2OsO
Method: DFT, PBE
State: optimized geometry

Final energy   -19.73 eV/cell
Calculated density   6.75 g/cm3
Energy relative to the lowest polymorph listed for this composition   1.523 eV/atom
DOS at the Fermi energy   1.170 states/eV/atom
Magnetization   2.02 μB/cell
E_form (uncorrected)   1638 meV per atom

Cell lengths 4.9130, 4.9130, 3.8781 Å; angles 90.00, 90.00, 90.00 degrees
Space group P4/mmm (No. 123)
Unique sites:
Cd1 0.0000 0.0000 0.0000
P1 0.0000 0.5000 0.0000
Os1 0.5000 0.5000 0.5000
O1 0.0000 0.0000 0.5000